Computed, not measured: crystalline La2ZnGa at its relaxed geometry at the GGA-PBE level of DFT.

POSCAR file:
```
La2ZnGa
1.0
0.0000 3.7679 3.7679
3.7679 0.0000 3.7679
3.7679 3.7679 0.0000
Zn Ga La
1 1 2
direct
0.0000 0.0000 0.0000
0.5000 0.5000 0.5000
0.2500 0.2500 0.2500
0.7500 0.7500 0.7500
```

Results
- E above lowest polymorph: 0 meV per atom
- M_tot: 0.000 μB per cell
- SG: Fm-3m (225)



Computed, not measured: crystalline GaAu at its relaxed geometry at the GGA-PBE level of DFT.

POSCAR file:
```
GaAu
1.0
-1.8265 5.0096 -0.6388
-4.7040 -1.5363 1.4020
3.0004 -3.9221 5.7690
Ga Au
4 4
direct
0.7500 0.3730 0.7500
0.2500 0.6270 0.2500
0.7500 0.8730 0.2500
0.2500 0.1270 0.7500
0.7500 0.8728 0.7500
0.2500 0.1272 0.2500
0.7500 0.3728 0.2500
0.2500 0.6272 0.7500
```

Results
- M_tot: 0.000 μB per cell
- Energy: -26.485 eV per cell
- SG: Imma (74)



Computed, not measured: crystalline Mg6Zn6Pb at its relaxed geometry at the GGA-PBE level of DFT.

POSCAR file:
```
Mg6Zn6Pb
1.0
5.2021 0.0000 2.0793
2.6481 6.7187 0.9219
0.1092 -0.2876 7.2739
Mg Zn Pb
6 6 1
direct
0.3390 0.6610 0.6610
0.6610 0.3390 0.3390
0.0000 0.3449 0.6551
0.0000 0.6551 0.3449
0.3191 0.1809 0.1809
0.6809 0.8191 0.8191
0.0000 0.5000 0.0000
0.5000 0.5000 0.0000
0.0000 0.0000 0.5000
0.5000 0.0000 0.5000
0.5000 0.7544 0.2456
0.5000 0.2456 0.7544
0.0000 0.0000 0.0000
```

Results
- M_tot: 0.000 μB per cell
- Energy: -21.614 eV per cell
- SG: Immm (71)



Computed, not measured: crystalline Ca5Hg2Bi5 at its relaxed geometry at the GGA-PBE level of DFT.

POSCAR file:
```
Ca5Hg2Bi5
1.0
4.5388 0.0000 1.2832
1.8410 8.5503 2.1570
-0.2972 -0.2352 9.7197
Ca Hg Bi
5 2 5
direct
0.5000 0.5000 0.5000
0.4004 0.2997 0.8994
0.3087 0.0641 0.3184
0.6913 0.9359 0.6816
0.5996 0.7003 0.1006
0.8701 0.5702 0.6895
0.1299 0.4298 0.3105
0.9290 0.7896 0.3524
0.2313 0.6905 0.8468
0.7687 0.3095 0.1532
0.0710 0.2104 0.6476
0.0000 0.0000 0.0000
```

Results
- M_tot: 0.000 μB per cell
- Energy: -37.194 eV per cell
- SG: C2/m (12)



Computed, not measured: crystalline CoCu2W at its relaxed geometry at the GGA-PBE level of DFT.

POSCAR file:
```
CoCu2W
1.0
-2.3255 0.5203 -4.5229
-5.0870 0.4054 -0.3051
4.4758 1.8201 1.6704
Co Cu W
1 2 1
direct
0.2500 0.7500 0.5000
0.0128 0.0128 0.0000
0.4872 0.4872 0.0000
0.7500 0.2500 0.5000
```

Results
- E above lowest polymorph: 116 meV per atom
- M_tot: 0.000 μB per cell
- SG: Immm (71)



Computed, not measured: crystalline Sc2InCu at its relaxed geometry at the GGA-PBE level of DFT.

POSCAR file:
```
Sc2InCu
1.0
7.5548 0.0000 0.0000
0.0000 7.5548 0.0000
3.7774 3.7774 3.0837
Sc Cu In
4 2 2
direct
0.5829 0.1250 0.2500
0.1671 0.6250 0.2500
0.3750 0.4171 0.7500
0.8750 0.8329 0.7500
0.5000 0.5000 0.0000
0.2500 0.7500 0.5000
0.0000 0.0000 0.0000
0.7500 0.2500 0.5000
```

Results
- M_tot: 0.000 μB per cell
- Energy: -38.837 eV per cell
- SG: I-42d (122)



Computed, not measured: crystalline RbVMo2 at its relaxed geometry at the GGA-PBE level of DFT.

POSCAR file:
```
RbVMo2
1.0
1.0374 -4.5400 0.3162
-2.7597 -3.1714 -2.0284
1.4885 -2.3217 -3.7659
Mo Rb V
2 1 1
direct
0.2500 0.2500 0.2500
0.7500 0.7500 0.7500
0.5000 0.5000 0.5000
0.0000 0.0000 0.0000
```

Results
- E above lowest polymorph: 0 meV per atom
- M_tot: 0.000 μB per cell
- SG: Fm-3m (225)



Computed, not measured: crystalline NdFeC2 at its relaxed geometry at the GGA-PBE level of DFT.

POSCAR file:
```
NdFeC2
1.0
-3.4364 -1.8327 0.5753
-0.1637 -3.2060 2.2789
-2.1893 1.6024 5.4975
C Nd Fe
2 1 1
direct
0.1029 0.1029 0.6914
0.8971 0.8971 0.3086
0.5000 0.5000 0.5000
0.0000 0.0000 0.0000
```

Results
- M_tot: 1.763 μB per cell
- Energy: -26.954 eV per cell
- SG: R-3m (166)



Computed, not measured: crystalline CsZnGePSe at its relaxed geometry at the GGA-PBE level of DFT.

POSCAR file:
```
CsZnGePSe
1.0
-2.4639 0.1512 -3.8202
4.5206 -0.4474 -0.2257
-0.7828 -8.0045 0.1880
Cs Zn Ge P Se
1 1 1 1 1
direct
0.3333 0.6667 0.0110
0.0000 0.0000 0.6563
0.6667 0.3333 0.4000
0.6667 0.3333 0.7012
0.0000 0.0000 0.3334
```

Results
- Raw formation energy: -33 kJ/mol of atoms
- E above lowest polymorph: 129 meV per atom
- M_tot: 0.000 μB per cell
- SG: P3m1 (156)



Computed, not measured: crystalline Li4CaCu at its relaxed geometry at the GGA-PBE level of DFT.

POSCAR file:
```
Li4CaCu
1.0
0.0000 3.9056 3.9056
3.9056 0.0000 3.9056
3.9056 3.9056 0.0000
Li Ca Cu
4 1 1
direct
0.8820 0.3727 0.3727
0.3727 0.3727 0.8820
0.3727 0.8820 0.3727
0.3727 0.3727 0.3727
0.7500 0.7500 0.7500
0.0000 0.0000 0.0000
```

Results
- M_tot: 0.000 μB per cell
- Energy: -13.110 eV per cell
- SG: F-43m (216)



Computed, not measured: crystalline MnVTc at its relaxed geometry at the GGA-PBE level of DFT.

POSCAR file:
```
MnVTc
1.0
2.6243 0.0000 0.0000
0.0000 6.4915 0.0000
0.0000 0.0000 4.6887
Mn Tc V
2 2 2
direct
0.5000 0.2008 0.2500
0.5000 0.7992 0.7500
0.0000 0.1355 0.7500
0.0000 0.8645 0.2500
0.0000 0.5000 0.5000
0.0000 0.5000 0.0000
```

Results
- E above lowest polymorph: 348 meV per atom
- M_tot: 2.453 μB per cell
- SG: Pmma (51)



Computed, not measured: crystalline CsLa2BeIr at its relaxed geometry at the GGA-PBE level of DFT.

POSCAR file:
```
CsLa2BeIr
1.0
-1.6897 1.2446 -5.4483
-3.8840 -3.0898 0.4987
-3.2505 4.4113 2.0157
Cs Be Ir La
1 1 1 2
direct
0.0000 0.0000 0.0000
0.5000 0.5000 0.5000
0.0000 0.5000 0.0000
0.0000 0.0000 0.5000
0.5000 0.0000 0.0000
```

Results
- M_tot: 0.000 μB per cell
- Energy: -14.941 eV per cell
- SG: P4/mmm (123)